[1]
! Co2Ge2Bi GGA-PBEsol relaxed; values from VASP
! magnetic moment: 0.005 Bohr magnetons per cell
! N(E_F): 0.780 states/eV/atom
! volume: 15.65 Å³ per atom
! formation enthalpy at 0 K: 3 kJ per mole of atoms
&SYSTEM
  ibrav = 0, nat = 5, ntyp = 3
/
ATOMIC_SPECIES
Co 58.93 Co.upf
Ge 72.64 Ge.upf
Bi 208.98 Bi.upf
ATOMIC_POSITIONS crystal
Co 0.619 0.619 0.239
Co 0.381 0.381 0.761
Ge 0.750 0.250 0.500
Ge 0.250 0.750 0.500
Bi 0.000 0.000 0.000
CELL_PARAMETERS angstrom
3.697 0.000 0.000
0.000 3.697 0.000
-1.849 -1.849 5.724

---

[2]
! TaCo4Ir GGA-PBEsol relaxed; values from VASP
! magnetic moment: 5.180 Bohr magnetons per cell
! N(E_F): 1.648 states/eV/atom
! volume: 11.86 Å³ per atom
! formation enthalpy at 0 K: -21 kJ per mole of atoms
&SYSTEM
  ibrav = 0, nat = 6, ntyp = 3
/
ATOMIC_SPECIES
Ta 180.95 Ta.upf
Co 58.93 Co.upf
Ir 192.22 Ir.upf
ATOMIC_POSITIONS crystal
Ta 0.000 0.000 0.000
Co 0.376 0.376 0.376
Co 0.376 0.873 0.376
Co 0.376 0.376 0.873
Co 0.873 0.376 0.376
Ir 0.750 0.750 0.750
CELL_PARAMETERS angstrom
-1.111 2.948 3.422
-4.107 2.182 -0.053
-3.284 -1.150 3.086

---

Number 1: energy -5.8962 eV per atom. Number 2: energy -9.1037 eV per atom.